CaMgCoHNF | PBE with a Hubbard U | optimized geometry

```
data_CaMgCoHNF
_cell_length_a 3.121
_cell_length_b 3.121
_cell_length_c 15.162
_cell_angle_alpha 90.00
_cell_angle_beta 90.00
_cell_angle_gamma 90.00
_space_group_name_H-M_alt 'I 4 m m'
_space_group_IT_number 107
_space_group_name_Hall 'I 4 -2'
loop_
_atom_site_label
_atom_site_fract_x
_atom_site_fract_y
_atom_site_fract_z
_atom_site_occupancy
Ca1 0.000 0.000 0.000 1
Mg1 0.000 0.000 0.715 1
Co1 0.000 0.000 0.339 1
H1 0.000 0.000 0.443 1
N1 0.000 0.000 0.224 1
F1 0.000 0.000 0.578 1
```

Summary:
As for the uncorrected energy: -4.659 eV/atom. Its magnetization is 0.33 μB/atom.